First-principles (GGA-PBE) data for a geometry-optimized ZrMnV structure, as listed in Alexandria.

Results
- ΔH_f (0 K): 45 meV per atom
- Crystal system: triclinic
- Energy: -8.900 eV per atom
- M_tot: 0.01 μB per cell

a b c (Å): 3.0120 4.9827 6.7231
angles (deg): 109.77 91.10 101.49
Atoms (fractional coordinates):
Mn 0.0201 0.0019 0.7977
Mn 0.9799 0.9981 0.2023
Zr 0.3024 0.6928 0.4077
Zr 0.6976 0.3072 0.5923
V 0.3322 0.6936 0.9410
V 0.6678 0.3064 0.0590